(1)
# PBE LiTbPbSe3, relaxed
# energy above the lowest structure with this stoichiometry: 0.0 meV/atom
data_LiTbPbSe3
_chemical_formula_sum 'Li4 Tb4 Pb4 Se12'
_cell_length_a 17.7354
_cell_length_b 4.1116
_cell_length_c 8.6928
_cell_angle_alpha 90.00
_cell_angle_beta 103.98
_cell_angle_gamma 90.00
_space_group_name_H-M_alt 'C 1 2/m 1'
_space_group_IT_number 12
loop_
_space_group_symop_operation_xyz
'x,y,z'
'-x,-y,-z'
'-x,y,-z'
'x,-y,z'
'x+1/2,y+1/2,z'
'-x+1/2,-y+1/2,-z'
'-x+1/2,y+1/2,-z'
'x+1/2,-y+1/2,z'
loop_
_atom_site_label
_atom_site_fract_x
_atom_site_fract_y
_atom_site_fract_z
Li1 0.0020 0.0000 0.1973
Tb1 0.1656 0.5000 0.0891
Pb1 0.1332 0.5000 0.5645
Se1 0.0000 0.0000 0.5000
Se2 0.0000 0.5000 0.0000
Se3 0.1666 0.0000 0.8563
Se4 0.1751 0.0000 0.3209

***

(2)
# PBE LiSmPb2, relaxed
# E: -3.943 eV per atom
data_LiSmPb2
_chemical_formula_sum 'Li1 Sm1 Pb2'
_cell_length_a 4.8369
_cell_length_b 4.8369
_cell_length_c 4.5054
_cell_angle_alpha 90.00
_cell_angle_beta 90.00
_cell_angle_gamma 90.00
_space_group_name_H-M_alt 'P 4/m m m'
_space_group_IT_number 123
_space_group_name_Hall '-P 4 2'
loop_
_atom_site_label
_atom_site_fract_x
_atom_site_fract_y
_atom_site_fract_z
Li1 0.0000 0.0000 0.0000
Sm1 0.5000 0.5000 0.0000
Pb1 0.0000 0.5000 0.5000

***

(3)
# PBE Sr2Li3SmPb3, relaxed
# E: -3.255 eV per atom
data_Sr2Li3SmPb3
_chemical_formula_sum 'Sr2 Li3 Sm1 Pb3'
_cell_length_a 4.9964
_cell_length_b 4.9964
_cell_length_c 11.6492
_cell_angle_alpha 90.00
_cell_angle_beta 90.00
_cell_angle_gamma 120.00
_space_group_name_H-M_alt 'P -6 m 2'
_space_group_IT_number 187
_space_group_name_Hall 'P -6 2'
loop_
_atom_site_label
_atom_site_fract_x
_atom_site_fract_y
_atom_site_fract_z
Sr1 0.0000 0.0000 0.1650
Li1 0.3333 0.6667 0.0000
Li2 0.6667 0.3333 0.3255
Sm1 0.0000 0.0000 0.5000
Pb1 0.3333 0.6667 0.3588
Pb2 0.6667 0.3333 0.0000

***

(4)
# PBE SrLi3Sm2Pb3, relaxed
# E: -3.615 eV per atom
data_SrLi3Sm2Pb3
_chemical_formula_sum 'Sr1 Li3 Sm2 Pb3'
_cell_length_a 4.8860
_cell_length_b 4.8860
_cell_length_c 11.6163
_cell_angle_alpha 90.00
_cell_angle_beta 90.00
_cell_angle_gamma 120.00
_space_group_name_H-M_alt 'P -6 m 2'
_space_group_IT_number 187
_space_group_name_Hall 'P -6 2'
loop_
_atom_site_label
_atom_site_fract_x
_atom_site_fract_y
_atom_site_fract_z
Sr1 0.0000 0.0000 0.0000
Li1 0.3333 0.6667 0.5000
Li2 0.6667 0.3333 0.2014
Sm1 0.0000 0.0000 0.3375
Pb1 0.3333 0.6667 0.1955
Pb2 0.6667 0.3333 0.5000

***

(5)
# PBE Li3Tb2SmPb3, relaxed
# E: -3.911 eV per atom
data_Li3Tb2SmPb3
_chemical_formula_sum 'Li3 Tb2 Sm1 Pb3'
_cell_length_a 4.7804
_cell_length_b 4.7804
_cell_length_c 11.1230
_cell_angle_alpha 90.00
_cell_angle_beta 90.00
_cell_angle_gamma 120.00
_space_group_name_H-M_alt 'P -6 m 2'
_space_group_IT_number 187
_space_group_name_Hall 'P -6 2'
loop_
_atom_site_label
_atom_site_fract_x
_atom_site_fract_y
_atom_site_fract_z
Li1 0.0000 0.0000 0.0000
Li2 0.3333 0.6667 0.3073
Tb1 0.6667 0.3333 0.1632
Sm1 0.6667 0.3333 0.5000
Pb1 0.0000 0.0000 0.3233
Pb2 0.3333 0.6667 0.0000

***

(6)
# PBE LiTbPb2, relaxed
# E: -3.896 eV per atom
data_LiTbPb2
_chemical_formula_sum 'Li1 Tb1 Pb2'
_cell_length_a 4.8114
_cell_length_b 4.8114
_cell_length_c 4.4367
_cell_angle_alpha 90.00
_cell_angle_beta 90.00
_cell_angle_gamma 90.00
_space_group_name_H-M_alt 'P 4/m m m'
_space_group_IT_number 123
_space_group_name_Hall '-P 4 2'
loop_
_atom_site_label
_atom_site_fract_x
_atom_site_fract_y
_atom_site_fract_z
Li1 0.0000 0.0000 0.0000
Tb1 0.5000 0.5000 0.0000
Pb1 0.0000 0.5000 0.5000

***

(7)
# PBE LiTcTePb, relaxed
# energy above the lowest structure with this stoichiometry: 0.0 meV/atom
data_LiTcTePb
_chemical_formula_sum 'Li4 Tc4 Te4 Pb4'
_cell_length_a 6.7804
_cell_length_b 6.7804
_cell_length_c 6.7804
_cell_angle_alpha 90.00
_cell_angle_beta 90.00
_cell_angle_gamma 90.00
_space_group_name_H-M_alt 'F -4 3 m'
_space_group_IT_number 216
_space_group_name_Hall 'F -4 2 3'
loop_
_atom_site_label
_atom_site_fract_x
_atom_site_fract_y
_atom_site_fract_z
Li1 0.0000 0.0000 0.0000
Tc1 0.0000 0.0000 0.5000
Te1 0.2500 0.2500 0.2500
Pb1 0.2500 0.2500 0.7500

***

(8)
# PBE LiTmTe3Pb, relaxed
# energy above the lowest structure with this stoichiometry: 16.7 meV/atom
data_LiTmTe3Pb
_chemical_formula_sum 'Li4 Tm4 Te12 Pb4'
_cell_length_a 4.3753
_cell_length_b 14.4835
_cell_length_c 11.2730
_cell_angle_alpha 90.00
_cell_angle_beta 90.00
_cell_angle_gamma 90.00
_space_group_name_H-M_alt 'C m c m'
_space_group_IT_number 63
_space_group_name_Hall '-C 2c 2'
loop_
_atom_site_label
_atom_site_fract_x
_atom_site_fract_y
_atom_site_fract_z
Li1 0.0000 0.0259 0.2500
Tm1 0.0000 0.5000 0.0000
Te1 0.0000 0.1410 0.0596
Te2 0.0000 0.4139 0.2500
Pb1 0.0000 0.2583 0.7500

***

(9)
# PBE LiTmTe3Pb, relaxed
# energy above the lowest structure with this stoichiometry: 0.0 meV/atom
data_LiTmTe3Pb
_chemical_formula_sum 'Li4 Tm4 Te12 Pb4'
_cell_length_a 18.9423
_cell_length_b 4.3283
_cell_length_c 9.2091
_cell_angle_alpha 90.00
_cell_angle_beta 103.53
_cell_angle_gamma 90.00
_space_group_name_H-M_alt 'C 1 2/m 1'
_space_group_IT_number 12
loop_
_space_group_symop_operation_xyz
'x,y,z'
'-x,-y,-z'
'-x,y,-z'
'x,-y,z'
'x+1/2,y+1/2,z'
'-x+1/2,-y+1/2,-z'
'-x+1/2,y+1/2,-z'
'x+1/2,-y+1/2,z'
loop_
_atom_site_label
_atom_site_fract_x
_atom_site_fract_y
_atom_site_fract_z
Li1 0.0070 0.0000 0.1994
Tm1 0.1645 0.5000 0.0851
Te1 0.0000 0.0000 0.5000
Te2 0.0000 0.5000 0.0000
Te3 0.1696 0.0000 0.8536
Te4 0.1781 0.0000 0.3213
Pb1 0.1340 0.5000 0.5643

***

(10)
# PBE LiPb5W3, relaxed
# E: -6.102 eV per atom
data_LiPb5W3
_chemical_formula_sum 'Li1 Pb5 W3'
_cell_length_a 5.6110
_cell_length_b 5.6110
_cell_length_c 9.0002
_cell_angle_alpha 90.00
_cell_angle_beta 90.00
_cell_angle_gamma 120.00
_space_group_name_H-M_alt 'P 6/m m m'
_space_group_IT_number 191
_space_group_name_Hall '-P 6 2'
loop_
_atom_site_label
_atom_site_fract_x
_atom_site_fract_y
_atom_site_fract_z
Li1 0.0000 0.0000 0.0000
Pb1 0.0000 0.0000 0.5000
Pb2 0.3333 0.6667 0.2119
W1 0.0000 0.5000 0.5000

***

(11)
# PBE LiZnPb2, relaxed
# E: -2.609 eV per atom
data_LiZnPb2
_chemical_formula_sum 'Li4 Zn4 Pb8'
_cell_length_a 7.3720
_cell_length_b 7.3720
_cell_length_c 7.3720
_cell_angle_alpha 90.00
_cell_angle_beta 90.00
_cell_angle_gamma 90.00
_space_group_name_H-M_alt 'F -4 3 m'
_space_group_IT_number 216
_space_group_name_Hall 'F -4 2 3'
loop_
_atom_site_label
_atom_site_fract_x
_atom_site_fract_y
_atom_site_fract_z
Li1 0.0000 0.0000 0.0000
Zn1 0.2500 0.2500 0.2500
Pb1 0.0000 0.0000 0.5000
Pb2 0.2500 0.2500 0.7500

***

(12)
# PBE LiZn2Pb, relaxed
# E: -2.042 eV per atom
data_LiZn2Pb
_chemical_formula_sum 'Li4 Zn8 Pb4'
_cell_length_a 6.7102
_cell_length_b 6.7102
_cell_length_c 6.7102
_cell_angle_alpha 90.00
_cell_angle_beta 90.00
_cell_angle_gamma 90.00
_space_group_name_H-M_alt 'F -4 3 m'
_space_group_IT_number 216
_space_group_name_Hall 'F -4 2 3'
loop_
_atom_site_label
_atom_site_fract_x
_atom_site_fract_y
_atom_site_fract_z
Li1 0.0000 0.0000 0.0000
Zn1 0.0000 0.0000 0.5000
Zn2 0.2500 0.2500 0.2500
Pb1 0.2500 0.2500 0.7500